Record 1
VASP calculation (PBE-GGA) on crystalline NaZnMoIr at its relaxed geometry.

Cell lengths 4.4460, 4.4460, 4.4460 Å; angles 60.00, 60.00, 60.00 degrees
Closest atoms and distances in Å follow each position.
Fractional positions:
Na 0.7500 0.7500 0.7500  4 Ir 2.72, 4 Zn 2.72
Ir 0.0000 0.0000 0.0000  4 Na 2.72, 4 Mo 2.72
Zn 0.5000 0.5000 0.5000  4 Mo 2.72, 4 Na 2.72
Mo 0.2500 0.2500 0.2500  4 Ir 2.72, 4 Zn 2.72

Properties
**Space group**: F-43m (216)
**Offset from the most stable computed form**: 9.8 kJ per mole of atoms

=====

Record 2
VASP calculation (PBE-GGA) on crystalline NaZnMoIr at its relaxed geometry.

Cell lengths 4.4078, 4.4078, 4.4078 Å; angles 60.00, 60.00, 60.00 degrees
Closest atoms and distances in Å follow each position.
Fractional positions:
Mo 0.0000 0.0000 0.0000  4 Ir 2.70, 4 Na 2.70
Ir 0.2500 0.2500 0.2500  4 Mo 2.70, 4 Zn 2.70
Na 0.7500 0.7500 0.7500  4 Zn 2.70, 4 Mo 2.70
Zn 0.5000 0.5000 0.5000  4 Na 2.70, 4 Ir 2.70

Properties
**Space group**: F-43m (216)
**Offset from the most stable computed form**: 0.0 kJ per mole of atoms

=====

Record 3
VASP calculation (PBE-GGA) on crystalline NiMoIrPb at its relaxed geometry.

Cell lengths 4.5069, 4.5069, 4.5069 Å; angles 60.00, 60.00, 60.00 degrees
Closest atoms and distances in Å follow each position.
Fractional positions:
Pb 0.0000 0.0000 0.0000  4 Mo 2.76, 4 Ni 2.76
Ir 0.5000 0.5000 0.5000  4 Mo 2.76, 4 Ni 2.76
Mo 0.2500 0.2500 0.2500  4 Ir 2.76, 4 Pb 2.76
Ni 0.7500 0.7500 0.7500  4 Pb 2.76, 4 Ir 2.76

Properties
**Space group**: F-43m (216)

=====

Record 4
VASP calculation (PBE-GGA) on crystalline NiSbMoIr at its relaxed geometry.

Cell lengths 4.4505, 4.4505, 4.4505 Å; angles 60.00, 60.00, 60.00 degrees
Closest atoms and distances in Å follow each position.
Fractional positions:
Sb 0.0000 0.0000 0.0000  4 Ni 2.73, 4 Mo 2.73
Mo 0.2500 0.2500 0.2500  4 Ir 2.73, 4 Sb 2.73
Ir 0.5000 0.5000 0.5000  4 Ni 2.73, 4 Mo 2.73
Ni 0.7500 0.7500 0.7500  4 Ir 2.73, 4 Sb 2.73

Properties
**Space group**: F-43m (216)

=====

Raw total energy (eV/atom)
-5.25, -5.35, -6.82, -7.17
Total magnetic moment (μB/atom)
0.002, 0.000, 0.000, 0.065